(1)
Material: B2PbO
Method: DFT, PBE
State: relaxed

```
data_B2PbO
_chemical_formula_sum 'B8 Pb4 O4'
_space_group_name_H-M_alt 'I 41/a m d'
_space_group_IT_number 141
_cell_length_a 3.467
_cell_length_b 3.467
_cell_length_c 17.881
_cell_angle_alpha 90.00
_cell_angle_beta 90.00
_cell_angle_gamma 90.00
loop_
_space_group_symop_operation_xyz
'x,y,z'
'-x,-y,-z'
'-y+1/4,x+3/4,z+1/4'
'y+1/4,-x+3/4,-z+1/4'
'-x+1/2,-y,z+1/2'
'x+1/2,y,-z+1/2'
'y+1/4,-x+1/4,z+3/4'
'-y+1/4,x+1/4,-z+3/4'
'x,-y,-z'
'-x,y,z'
'-y+1/4,-x+1/4,-z+3/4'
'y+1/4,x+1/4,z+3/4'
'-x+1/2,y,-z+1/2'
'x+1/2,-y,z+1/2'
'y+1/4,x+3/4,-z+1/4'
'-y+1/4,-x+3/4,z+1/4'
'x+1/2,y+1/2,z+1/2'
'-x+1/2,-y+1/2,-z+1/2'
'-y+3/4,x+1/4,z+3/4'
'y+3/4,-x+1/4,-z+3/4'
'-x,-y+1/2,z'
'x,y+1/2,-z'
'y+3/4,-x+3/4,z+1/4'
'-y+3/4,x+3/4,-z+1/4'
'x+1/2,-y+1/2,-z+1/2'
'-x+1/2,y+1/2,z+1/2'
'-y+3/4,-x+3/4,-z+1/4'
'y+3/4,x+3/4,z+1/4'
'-x,y+1/2,-z'
'x,-y+1/2,z'
'y+3/4,x+1/4,-z+3/4'
'-y+3/4,-x+1/4,z+3/4'
loop_
_atom_site_label
_atom_site_fract_x
_atom_site_fract_y
_atom_site_fract_z
B1 0.000 0.000 0.000
Pb1 0.000 0.250 0.375
O1 0.000 0.250 0.875
```

Computed properties:
For the formation energy without anion corrections, the calculation gives 466 meV per atom.


(2)
Material: BPb5O8
Method: DFT, PBE
State: relaxed

```
data_BPb5O8
_chemical_formula_sum 'B2 Pb10 O16'
_space_group_name_H-M_alt 'I -4'
_space_group_IT_number 82
_cell_length_a 10.455
_cell_length_b 10.455
_cell_length_c 4.312
_cell_angle_alpha 90.00
_cell_angle_beta 90.00
_cell_angle_gamma 90.00
loop_
_space_group_symop_operation_xyz
'x,y,z'
'y,-x,-z'
'-x,-y,z'
'-y,x,-z'
'x+1/2,y+1/2,z+1/2'
'y+1/2,-x+1/2,-z+1/2'
'-x+1/2,-y+1/2,z+1/2'
'-y+1/2,x+1/2,-z+1/2'
loop_
_atom_site_label
_atom_site_fract_x
_atom_site_fract_y
_atom_site_fract_z
B1 0.000 0.000 0.000
Pb1 0.000 0.500 0.750
Pb2 0.092 0.781 0.337
O1 0.077 0.093 0.184
O2 0.081 0.348 0.499
```

Computed properties:
For the formation energy without anion corrections, the calculation gives -1162 meV per atom.